Material: HgBiPt
Method: DFT, PBE
State: optimized geometry

a = 11.4264 Å, b = 10.7118 Å, c = 5.6295 Å
α = 82.44°, β = 68.33°, γ = 29.23°
With the nearest neighbours (Å) after each atom.
Sites, in units of the cell vectors:
Hg (0.0346, 0.0346, 0.2154)  4 Pt 2.84-3.02, 2 Hg 3.16
Hg (0.2154, 0.2154, 0.0346)  4 Pt 2.84-3.02, 2 Hg 3.16
Hg (0.7846, 0.7846, 0.9654)  4 Pt 2.84-3.02, 2 Hg 3.16
Hg (0.9654, 0.9654, 0.7846)  4 Pt 2.84-3.02, 2 Hg 3.16
Bi (0.1971, 0.5529, 0.1971)  2 Pt 2.80
Bi (0.4471, 0.8029, 0.4471)  2 Pt 2.80
Bi (0.5529, 0.1971, 0.5529)  2 Pt 2.80
Bi (0.8029, 0.4471, 0.8029)  2 Pt 2.80
Pt (0.2686, 0.2686, 0.4814)  2 Bi 2.80, 4 Hg 2.84-3.02, 2 Pt 2.92
Pt (0.4814, 0.4814, 0.2686)  2 Bi 2.80, 4 Hg 2.84-3.02, 2 Pt 2.92
Pt (0.5186, 0.5186, 0.7314)  2 Bi 2.80, 4 Hg 2.84-3.02, 2 Pt 2.92
Pt (0.7314, 0.7314, 0.5186)  2 Bi 2.80, 4 Hg 2.84-3.02, 2 Pt 2.92

Calculated values
Total magnetic moment = 0.00 μB per atom
Energy above the most stable polymorph in this dataset = 56 meV/atom
Space group = Fddd, No. 70
Crystal system = orthorhombic
Total DFT energy (no corrections) = -41.8 eV per cell


Material: Hg2BiPt
Method: DFT, PBE
State: optimized geometry

a = 6.5148 Å, b = 6.5148 Å, c = 6.5148 Å
α = 101.33°, β = 101.33°, γ = 127.38°
With the nearest neighbours (Å) after each atom.
Sites, in units of the cell vectors:
Hg (0.0878, 0.6250, 0.9628)  2 Pt 2.81, 2 Hg 2.95
Hg (0.3750, 0.3378, 0.4628)  2 Pt 2.81, 2 Hg 2.95
Hg (0.6622, 0.1250, 0.0372)  2 Pt 2.81, 2 Hg 2.95
Hg (0.8750, 0.9122, 0.5372)  2 Pt 2.81, 2 Hg 2.95
Bi (0.2500, 0.7500, 0.5000)  2 Pt 2.89, 4 Hg 3.23
Bi (0.5000, 0.5000, 0.0000)  2 Pt 2.89, 4 Hg 3.23
Pt (0.0000, 0.0000, 0.0000)  4 Hg 2.81, 2 Bi 2.89
Pt (0.7500, 0.2500, 0.5000)  4 Hg 2.81, 2 Bi 2.89

Calculated values
Total magnetic moment = 0.00 μB per atom
Space group = I-42d, No. 122
Crystal system = tetragonal
Total DFT energy (no corrections) = -19.8 eV per cell


Material: HgBi2Pt
Method: DFT, PBE
State: optimized geometry

a = 8.0359 Å, b = 8.0359 Å, c = 8.0359 Å
α = 30.40°, β = 30.40°, γ = 30.40°
With the nearest neighbours (Å) after each atom.
Sites, in units of the cell vectors:
Hg (0.0000, 0.0000, 0.0000)  6 Bi 3.43-3.47
Bi (0.5612, 0.5612, 0.5612)  3 Pt 2.79
Bi (0.7743, 0.7743, 0.7743)  3 Pt 2.80
Pt (0.1683, 0.1683, 0.1683)  6 Bi 2.79-2.80

Calculated values
Total magnetic moment = 0.00 μB per atom
Space group = R3m, No. 160
Crystal system = trigonal
Total DFT energy (no corrections) = -14.7 eV per cell


Material: HgBi2Pt
Method: DFT, PBE
State: optimized geometry

a = 3.4225 Å, b = 3.4225 Å, c = 8.9013 Å
α = 90.00°, β = 90.00°, γ = 90.00°
With the nearest neighbours (Å) after each atom.
Sites, in units of the cell vectors:
Hg (0.0000, 0.0000, 0.0000)  4 Hg 3.42, 8 Bi 3.62
Bi (0.5000, 0.5000, 0.3018)  4 Pt 2.99
Bi (0.5000, 0.5000, 0.6982)  4 Pt 2.99
Pt (0.0000, 0.0000, 0.5000)  8 Bi 2.99

Calculated values
Total magnetic moment = 0.00 μB per atom
Space group = P4/mmm, No. 123
Crystal system = tetragonal
Total DFT energy (no corrections) = -14.4 eV per cell